Crystalline KRe2Mo at its relaxed geometry, computed with PBE-GGA.

Cell lengths 6.4911, 6.4911, 6.4911 Å; angles 90.00, 90.00, 90.00 degrees
Space group Fm-3m (No. 225)
One atom of each set of equivalent atoms:
K: 0.0000 0.0000 0.0000
Re: 0.2500 0.2500 0.2500
Mo: 0.0000 0.0000 0.5000

Values from the calculation:
relative energy among the computed polymorphs: 87.6 kJ per mole of atoms
density of states at the Fermi level: 5.60 states/eV/f.u.
calculated formation energy: 1.650 eV/atom
calculated volume: 17.09 Å³/atom



Crystalline KReMo2 at its relaxed geometry, computed with PBE-GGA.

Cell lengths 3.1653, 4.5544, 10.5244 Å; angles 90.00, 90.00, 90.00 degrees
Space group Cmmm (No. 65)
One atom of each set of equivalent atoms:
K: 0.0000 0.0000 0.0000
Re: 0.0000 0.0000 0.5000
Mo: 0.0000 0.5000 0.2971

Values from the calculation:
relative energy among the computed polymorphs: 6.1 kJ per mole of atoms
density of states at the Fermi level: 4.13 states/eV/f.u.
calculated formation energy: 0.798 eV/atom
calculated volume: 18.96 Å³/atom